1.
# La4SnHg3

A relaxed La4SnHg3 crystal (GGA-PBE, Alexandria via LeMat-Bulk).

CIF file:
```
data_La4SnHg3
_chemical_formula_sum 'La8 Sn2 Hg6'
_symmetry_space_group_name_H-M 'I 4/m m m'
_symmetry_Int_Tables_number 139
_symmetry_space_group_name_Hall '-I 4 2'
_cell_length_a 5.4799
_cell_length_b 5.4799
_cell_length_c 16.0648
_cell_angle_alpha 90.00
_cell_angle_beta 90.00
_cell_angle_gamma 90.00
loop_
_atom_site_label
_atom_site_fract_x
_atom_site_fract_y
_atom_site_fract_z
La1 0.0000 0.5000 0.1246
Sn1 0.0000 0.0000 0.0000
Hg1 0.0000 0.0000 0.2534
Hg2 0.0000 0.0000 0.5000
```

Summary:
Its uncorrected energy is -58.35 eV for the cell shown. As for the energy relative to the elements: -0.570 eV per atom.


2.
# NdTh2Ge3

A relaxed NdTh2Ge3 crystal (GGA-PBE, Alexandria via LeMat-Bulk).

CIF file:
```
data_NdTh2Ge3
_chemical_formula_sum 'Nd4 Th8 Ge12'
_symmetry_space_group_name_H-M 'P 1 21/c 1'
_symmetry_Int_Tables_number 14
_symmetry_space_group_name_Hall '-P 2ybc'
_cell_length_a 6.0880
_cell_length_b 12.8084
_cell_length_c 8.6397
_cell_angle_alpha 90.00
_cell_angle_beta 90.00
_cell_angle_gamma 90.00
loop_
_atom_site_label
_atom_site_fract_x
_atom_site_fract_y
_atom_site_fract_z
Nd1 0.2497 0.0829 0.1253
Th1 0.2497 0.0835 0.6253
Th2 0.2506 0.7504 0.1251
Ge1 0.2494 0.2504 0.3756
Ge2 0.2503 0.5839 0.3737
Ge3 0.2503 0.5840 0.8765
```

Summary:
Its uncorrected energy is -151.71 eV for the cell shown. As for the energy relative to the elements: -0.745 eV per atom.